a) # Ti3HAu, optimized geometry, DFT PBE
data_Ti3HAu
_chemical_formula_sum 'Ti6 H2 Au2'
_symmetry_space_group_name_H-M 'P 1'
_symmetry_Int_Tables_number 1
_symmetry_space_group_name_Hall 'P 1'
_cell_length_a 5.473
_cell_length_b 5.248
_cell_length_c 4.808
_cell_angle_alpha 90.00
_cell_angle_beta 90.00
_cell_angle_gamma 90.00
loop_
_atom_site_label
_atom_site_fract_x
_atom_site_fract_y
_atom_site_fract_z
Ti1 0.000 0.113 0.000
Ti2 0.249 0.634 0.011
Ti3 0.251 0.366 0.511
Ti4 0.500 0.887 0.500
Ti5 0.749 0.366 0.511
Ti6 0.751 0.634 0.011
H1 0.000 0.417 0.215
H2 0.500 0.583 0.715
Au1 0.000 0.850 0.510
Au2 0.500 0.150 0.010
# DOS(E_F) (states/eV/f.u.): 2.74
# Size of the total moment (μB/cell): 0.00



b) # Ti3HAu, optimized geometry, DFT PBE
data_Ti3HAu
_chemical_formula_sum 'Ti3 H1 Au1'
_symmetry_space_group_name_H-M 'P 1'
_symmetry_Int_Tables_number 1
_symmetry_space_group_name_Hall 'P 1'
_cell_length_a 4.087
_cell_length_b 4.087
_cell_length_c 4.087
_cell_angle_alpha 90.00
_cell_angle_beta 90.00
_cell_angle_gamma 90.00
loop_
_atom_site_label
_atom_site_fract_x
_atom_site_fract_y
_atom_site_fract_z
Ti1 0.000 0.000 0.500
Ti2 0.000 0.500 0.000
Ti3 0.500 0.000 0.000
H1 0.000 0.000 0.000
Au1 0.500 0.500 0.500
# DOS(E_F) (states/eV/f.u.): 4.55
# Size of the total moment (μB/cell): 0.00



Quick one: most stable of them? b)



a) # Ti2H2Au, optimized geometry, DFT PBE
data_Ti2H2Au
_chemical_formula_sum 'Ti4 H4 Au2'
_symmetry_space_group_name_H-M 'P 1'
_symmetry_Int_Tables_number 1
_symmetry_space_group_name_Hall 'P 1'
_cell_length_a 4.994
_cell_length_b 4.994
_cell_length_c 5.556
_cell_angle_alpha 104.42
_cell_angle_beta 104.42
_cell_angle_gamma 116.31
loop_
_atom_site_label
_atom_site_fract_x
_atom_site_fract_y
_atom_site_fract_z
Ti1 0.042 0.958 0.750
Ti2 0.291 0.709 0.250
Ti3 0.709 0.291 0.750
Ti4 0.958 0.042 0.250
H1 0.003 0.252 0.004
H2 0.252 0.003 0.504
H3 0.748 0.997 0.496
H4 0.997 0.748 0.996
Au1 0.376 0.624 0.750
Au2 0.624 0.376 0.250
# DOS(E_F) (states/eV/f.u.): 3.30
# Size of the total moment (μB/cell): 0.00



b) # Ti2H2Au, optimized geometry, DFT PBE
data_Ti2H2Au
_chemical_formula_sum 'Ti2 H2 Au1'
_symmetry_space_group_name_H-M 'P 1'
_symmetry_Int_Tables_number 1
_symmetry_space_group_name_Hall 'P 1'
_cell_length_a 5.295
_cell_length_b 5.295
_cell_length_c 5.295
_cell_angle_alpha 142.32
_cell_angle_beta 142.32
_cell_angle_gamma 54.35
loop_
_atom_site_label
_atom_site_fract_x
_atom_site_fract_y
_atom_site_fract_z
Ti1 0.160 0.160 0.000
Ti2 0.840 0.840 0.000
H1 0.250 0.750 0.500
H2 0.750 0.250 0.500
Au1 0.500 0.500 0.000
# DOS(E_F) (states/eV/f.u.): 4.97
# Size of the total moment (μB/cell): 0.00



Quick one: most stable of them? b)



a) # Tl2HAu2, optimized geometry, DFT PBE
data_Tl2HAu2
_chemical_formula_sum 'Tl4 H2 Au4'
_symmetry_space_group_name_H-M 'P 1'
_symmetry_Int_Tables_number 1
_symmetry_space_group_name_Hall 'P 1'
_cell_length_a 6.775
_cell_length_b 6.775
_cell_length_c 4.699
_cell_angle_alpha 90.00
_cell_angle_beta 90.00
_cell_angle_gamma 90.00
loop_
_atom_site_label
_atom_site_fract_x
_atom_site_fract_y
_atom_site_fract_z
Tl1 0.184 0.316 0.000
Tl2 0.316 0.816 0.000
Tl3 0.684 0.184 0.000
Tl4 0.816 0.684 0.000
H1 0.000 0.000 0.000
H2 0.500 0.500 0.000
Au1 0.141 0.641 0.500
Au2 0.359 0.141 0.500
Au3 0.641 0.859 0.500
Au4 0.859 0.359 0.500
# DOS(E_F) (states/eV/f.u.): 1.42
# Size of the total moment (μB/cell): 0.00



b) # Tl2HAu2, optimized geometry, DFT PBE
data_Tl2HAu2
_chemical_formula_sum 'Tl4 H2 Au4'
_symmetry_space_group_name_H-M 'P 1'
_symmetry_Int_Tables_number 1
_symmetry_space_group_name_Hall 'P 1'
_cell_length_a 5.855
_cell_length_b 5.855
_cell_length_c 5.844
_cell_angle_alpha 90.00
_cell_angle_beta 90.00
_cell_angle_gamma 90.00
loop_
_atom_site_label
_atom_site_fract_x
_atom_site_fract_y
_atom_site_fract_z
Tl1 0.184 0.316 0.000
Tl2 0.316 0.816 0.000
Tl3 0.684 0.184 0.000
Tl4 0.816 0.684 0.000
H1 0.000 0.000 0.500
H2 0.500 0.500 0.500
Au1 0.190 0.690 0.500
Au2 0.310 0.190 0.500
Au3 0.690 0.810 0.500
Au4 0.810 0.310 0.500
# DOS(E_F) (states/eV/f.u.): 2.67
# Size of the total moment (μB/cell): 0.00



Quick one: most stable of them? b)



a) # TlH3Au, optimized geometry, DFT PBE
data_TlH3Au
_chemical_formula_sum 'Tl2 H6 Au2'
_symmetry_space_group_name_H-M 'P 1'
_symmetry_Int_Tables_number 1
_symmetry_space_group_name_Hall 'P 1'
_cell_length_a 3.639
_cell_length_b 6.890
_cell_length_c 5.943
_cell_angle_alpha 90.00
_cell_angle_beta 90.66
_cell_angle_gamma 90.00
loop_
_atom_site_label
_atom_site_fract_x
_atom_site_fract_y
_atom_site_fract_z
Tl1 0.248 0.250 0.250
Tl2 0.752 0.750 0.750
H1 0.249 0.750 0.250
H2 0.252 0.008 0.750
H3 0.252 0.492 0.750
H4 0.748 0.508 0.250
H5 0.748 0.992 0.250
H6 0.751 0.250 0.750
Au1 0.251 0.250 0.750
Au2 0.749 0.750 0.250
# DOS(E_F) (states/eV/f.u.): 0.38
# Size of the total moment (μB/cell): 0.00



b) # TlH3Au, optimized geometry, DFT PBE
data_TlH3Au
_chemical_formula_sum 'Tl1 H3 Au1'
_symmetry_space_group_name_H-M 'P 1'
_symmetry_Int_Tables_number 1
_symmetry_space_group_name_Hall 'P 1'
_cell_length_a 3.939
_cell_length_b 3.939
_cell_length_c 3.939
_cell_angle_alpha 90.00
_cell_angle_beta 90.00
_cell_angle_gamma 90.00
loop_
_atom_site_label
_atom_site_fract_x
_atom_site_fract_y
_atom_site_fract_z
Tl1 0.000 0.000 0.000
H1 0.000 0.500 0.500
H2 0.500 0.000 0.500
H3 0.500 0.500 0.000
Au1 0.500 0.500 0.500
# DOS(E_F) (states/eV/f.u.): 0.67
# Size of the total moment (μB/cell): 0.00



Quick one: most stable of them? a)